1.
Tb4Pm3Tm after structural relaxation. Source: the Alexandria database, functional PBE.

Cell lengths 11.599, 6.229, 7.202 Å; angles 90.00, 90.00, 90.00 degrees
Space group Pmn2_1 (No. 31)
One atom of each set of equivalent atoms:
Tb1 0.000 0.167 0.000 (multiplicity 2)
Tb2 0.000 0.667 0.250 (multiplicity 2)
Tb3 0.250 0.500 0.000 (multiplicity 4)
Pm1 0.000 0.668 0.749 (multiplicity 2)
Pm2 0.249 0.999 0.249 (multiplicity 4)
Tm1 0.000 0.167 0.498 (multiplicity 2)

2.
TbPm7Tm3 after structural relaxation. Source: the Alexandria database, functional PBE.

Cell lengths 19.087, 7.178, 12.487 Å; angles 90.00, 116.02, 90.00 degrees
Space group C2/c (No. 15)
One atom of each set of equivalent atoms:
Tb1 0.000 0.000 0.000 (multiplicity 4)
Pm1 0.000 0.225 0.250 (multiplicity 4)
Pm2 0.160 0.494 0.774 (multiplicity 8)
Pm3 0.168 0.248 0.028 (multiplicity 8)
Pm4 0.168 0.248 0.529 (multiplicity 8)
Tm1 0.000 0.500 0.000 (multiplicity 4)
Tm2 0.170 0.003 0.276 (multiplicity 8)

Number 1: energy above the most stable polymorph in this dataset 0.000 eV/f.u., ρ 7.9 g/cm³. Number 2: energy above the most stable polymorph in this dataset 0.000 eV/f.u., ρ 7.3 g/cm³.